[1]
Entry from Alexandria via LeMat-Bulk: a relaxed ScCo3Ge crystal (PBE-GGA).

```
ScCo3Ge
1.0
-0.760 2.892 3.245
-3.848 -4.179 2.823
6.119 -0.249 1.654
Sc Co Ge
2 6 2
direct
0.750 0.569 0.431
0.250 0.431 0.569
0.750 0.466 0.859
0.750 0.141 0.534
0.250 0.859 0.466
0.250 0.534 0.141
0.000 0.000 0.000
0.500 0.000 0.000
0.750 0.806 0.194
0.250 0.194 0.806
```

Results
Volume: 159.2 Å³/cell
Mass density: 6.1 g/cm3
Fermi-level density of states: 10.926 states/eV per cell
Spin magnetization: 0.76 μB per atom
Energy relative to the lowest polymorph listed for this composition: 0.26 eV per formula unit
SG: Cmcm (63)
Formation energy: 360.0 meV/atom
Crystal system: orthorhombic

[2]
Entry from Alexandria via LeMat-Bulk: a relaxed Nd12Zn3H5 crystal (PBE-GGA).

```
Nd12Zn3H5
1.0
13.728 0.000 0.000
-4.576 12.943 0.000
-4.576 -6.471 11.209
Zn H Nd
12 20 48
direct
0.750 0.375 0.125
0.875 0.750 0.125
0.375 0.750 0.625
0.250 0.125 0.375
0.875 0.125 0.250
0.375 0.625 0.250
0.625 0.375 0.750
0.125 0.875 0.750
0.750 0.875 0.625
0.625 0.250 0.375
0.125 0.250 0.875
0.250 0.625 0.875
0.125 0.375 0.250
0.000 0.500 0.000
0.000 0.000 0.000
0.375 0.250 0.125
0.500 0.000 0.500
0.500 0.500 0.000
0.125 0.750 0.375
0.750 0.125 0.875
0.750 0.625 0.375
0.375 0.125 0.750
0.625 0.875 0.250
0.500 0.500 0.500
0.500 0.000 0.000
0.000 0.000 0.500
0.250 0.375 0.625
0.250 0.875 0.125
0.000 0.500 0.500
0.875 0.250 0.625
0.625 0.750 0.875
0.875 0.625 0.750
0.710 0.112 0.019
0.309 0.519 0.407
0.981 0.388 0.290
0.519 0.210 0.112
0.597 0.710 0.691
0.981 0.593 0.191
0.309 0.790 0.403
0.093 0.903 0.112
0.593 0.981 0.691
0.710 0.597 0.191
0.790 0.481 0.388
0.809 0.907 0.019
0.112 0.710 0.519
0.388 0.407 0.097
0.097 0.907 0.388
0.403 0.112 0.593
0.097 0.191 0.210
0.481 0.691 0.093
0.809 0.903 0.290
0.112 0.403 0.093
0.388 0.981 0.790
0.593 0.612 0.403
0.907 0.809 0.519
0.790 0.309 0.903
0.407 0.388 0.597
0.093 0.191 0.481
0.210 0.691 0.097
0.191 0.097 0.710
0.612 0.019 0.210
0.888 0.597 0.907
0.519 0.309 0.907
0.597 0.888 0.407
0.903 0.809 0.790
0.903 0.093 0.612
0.888 0.290 0.481
0.191 0.093 0.981
0.612 0.593 0.903
0.407 0.019 0.309
0.290 0.403 0.809
0.210 0.519 0.612
0.907 0.097 0.888
0.691 0.210 0.597
0.481 0.790 0.888
0.019 0.407 0.809
0.403 0.290 0.309
0.019 0.612 0.710
0.691 0.481 0.593
0.290 0.888 0.981
```

Results
Volume: 1991.4 Å³/cell
Mass density: 6.4 g/cm3
Fermi-level density of states: 89.499 states/eV per cell
Spin magnetization: 0.00 μB per atom
SG: Ia-3d (230)
Crystal system: cubic
VASP energy: -4.09 eV per atom

[3]
Entry from Alexandria via LeMat-Bulk: a relaxed ScAgPd5 crystal (PBE-GGA).

```
ScAgPd5
1.0
-0.584 3.813 -0.708
-0.004 -0.717 -3.855
-7.854 -1.162 0.225
Sc Ag Pd
1 1 5
direct
0.500 0.500 0.000
0.000 0.000 0.500
0.000 0.500 0.763
0.000 0.500 0.237
0.500 0.000 0.763
0.500 0.000 0.237
0.500 0.500 0.500
```

Results
Volume: 122.1 Å³/cell
Mass density: 9.3 g/cm3
Fermi-level density of states: 3.395 states/eV per cell
Spin magnetization: 0.00 μB per atom
Energy relative to the lowest polymorph listed for this composition: 0.09 eV per formula unit
SG: P4/mmm (123)
Formation energy: -271.3 meV/atom
Crystal system: tetragonal

[4]
Entry from Alexandria via LeMat-Bulk: a relaxed La2GaPb2 crystal (PBE-GGA).

```
La2GaPb2
1.0
-4.719 2.505 6.358
-4.596 -6.881 -0.700
2.910 -2.254 3.048
Pb Ga La
4 2 4
direct
0.137 0.637 0.500
0.637 0.863 0.500
0.863 0.363 0.500
0.363 0.137 0.500
0.000 0.000 0.000
0.500 0.500 0.000
0.331 0.831 0.000
0.831 0.669 0.000
0.669 0.169 0.000
0.169 0.331 0.000
```

Results
Volume: 329.6 Å³/cell
Mass density: 7.7 g/cm3
Fermi-level density of states: 10.390 states/eV per cell
Spin magnetization: 0.00 μB per atom
Energy relative to the lowest polymorph listed for this composition: 0.58 eV per formula unit
SG: P4/mbm (127)
Formation energy: -361.7 meV/atom
Crystal system: tetragonal

[5]
Entry from Alexandria via LeMat-Bulk: a relaxed TiTl2SnS5 crystal (PBE-GGA).

```
TiTl2SnS5
1.0
-3.271 1.540 0.842
-1.680 -9.040 1.825
4.285 1.874 13.224
Ti Tl Sn S
2 4 2 10
direct
0.780 0.560 0.531
0.220 0.440 0.031
0.864 0.727 0.815
0.125 0.251 0.671
0.136 0.273 0.315
0.875 0.749 0.171
0.560 0.120 0.930
0.440 0.880 0.430
0.338 0.676 0.004
0.692 0.384 0.906
0.496 0.993 0.786
0.292 0.584 0.640
0.952 0.904 0.543
0.662 0.324 0.504
0.308 0.616 0.406
0.504 0.007 0.286
0.708 0.416 0.140
0.048 0.096 0.043
```

Results
Volume: 478.4 Å³/cell
Mass density: 5.1 g/cm3
Spin magnetization: 0.00 μB per atom
SG: Cmc2_1 (36)
ΔE_f (raw): -0.6598 eV per atom
Crystal system: orthorhombic

[6]
Entry from Alexandria via LeMat-Bulk: a relaxed HfCdAg2 crystal (PBE-GGA).

```
HfCdAg2
1.0
-0.302 -0.992 2.889
2.563 -1.662 -0.303
4.488 6.431 2.677
Hf Ag Cd
1 2 1
direct
0.500 0.500 0.500
0.000 0.000 0.750
0.000 0.000 0.250
0.500 0.500 0.000
```

Results
Volume: 78.1 Å³/cell
Mass density: 10.8 g/cm3
Fermi-level density of states: 2.248 states/eV per cell
Spin magnetization: 0.00 μB per atom
SG: P4/mmm (123)
Formation energy: -6.8 meV/atom
Crystal system: tetragonal

[7]
Entry from Alexandria via LeMat-Bulk: a relaxed KBa crystal (PBE-GGA).

```
KBa
1.0
8.151 0.011 0.007
6.905 4.330 0.007
6.905 1.991 3.845
K Ba
1 1
direct
0.500 0.500 0.500
0.000 0.000 0.000
```

Results
Volume: 135.2 Å³/cell
Mass density: 2.2 g/cm3
Fermi-level density of states: 2.314 states/eV per cell
Spin magnetization: 0.00 μB per atom
SG: R-3m (166)
Formation energy: 90.4 meV/atom
Crystal system: trigonal

[8]
Entry from Alexandria via LeMat-Bulk: a relaxed Sm2ThNi6 crystal (PBE-GGA).

```
Sm2ThNi6
1.0
3.780 0.000 0.000
0.000 6.113 -3.529
0.000 0.000 7.059
Sm Th Ni
2 1 6
direct
0.000 0.333 0.667
0.000 0.667 0.333
0.000 0.000 0.000
0.500 0.332 0.332
0.500 0.668 0.668
0.500 0.000 0.668
0.500 0.668 0.000
0.500 0.332 0.000
0.500 0.000 0.332
```

Results
Volume: 163.1 Å³/cell
Mass density: 9.0 g/cm3
Fermi-level density of states: 12.257 states/eV per cell
Spin magnetization: 0.00 μB per atom
SG: P6/mmm (191)
Formation energy: -372.3 meV/atom
Crystal system: hexagonal

[9]
Entry from Alexandria via LeMat-Bulk: a relaxed Y2ErCdN crystal (PBE-GGA).

```
Y2ErCdN
1.0
4.770 0.000 0.000
0.000 4.844 0.000
0.000 0.000 4.844
Y Er Cd N
2 1 1 1
direct
0.000 0.000 0.500
0.000 0.500 0.000
0.500 0.000 0.000
0.500 0.500 0.500
0.000 0.000 0.000
```

Results
Volume: 111.9 Å³/cell
Mass density: 7.0 g/cm3
Fermi-level density of states: 4.670 states/eV per cell
Spin magnetization: 0.00 μB per atom
SG: P4/mmm (123)
ΔE_f (raw): -0.8686 eV per atom
Crystal system: tetragonal